# PaZnAuN | Alexandria via LeMat-Bulk | PBE | relaxed
# formation energy without anion corrections: -3.76 eV/f.u.
# total energy: -6.532 eV per atom
data_PaZnAuN
_cell_length_a 3.992
_cell_length_b 3.992
_cell_length_c 8.914
_cell_angle_alpha 90.00
_cell_angle_beta 90.00
_cell_angle_gamma 90.00
_symmetry_space_group_name_H-M 'P 4/n m m'
_symmetry_Int_Tables_number 129
loop_
_symmetry_equiv_pos_as_xyz
'x,y,z'
'-x,-y,-z'
'-y+1/2,x,z'
'y+1/2,-x,-z'
'-x+1/2,-y+1/2,z'
'x+1/2,y+1/2,-z'
'y,-x+1/2,z'
'-y,x+1/2,-z'
'x+1/2,-y,-z'
'-x+1/2,y,z'
'-y,-x,-z'
'y,x,z'
'-x,y+1/2,-z'
'x,-y+1/2,z'
'y+1/2,x+1/2,-z'
'-y+1/2,-x+1/2,z'
loop_
_atom_site_label
_atom_site_fract_x
_atom_site_fract_y
_atom_site_fract_z
_atom_site_occupancy
Pa1 0.250 0.250 0.127 1
Zn1 0.250 0.750 0.500 1
Au1 0.250 0.250 0.695 1
N1 0.250 0.750 0.000 1

# ZrPa2AuN5 | Alexandria via LeMat-Bulk | PBE | relaxed
# formation energy without anion corrections: -10.83 eV/f.u.
# total energy: -9.252 eV per atom
data_ZrPa2AuN5
_cell_length_a 3.743
_cell_length_b 12.044
_cell_length_c 11.755
_cell_angle_alpha 90.00
_cell_angle_beta 90.00
_cell_angle_gamma 90.00
_symmetry_space_group_name_H-M 'C m c 21'
_symmetry_Int_Tables_number 36
loop_
_symmetry_equiv_pos_as_xyz
'x,y,z'
'-x,-y,z+1/2'
'-x,y,z'
'x,-y,z+1/2'
'x+1/2,y+1/2,z'
'-x+1/2,-y+1/2,z+1/2'
'-x+1/2,y+1/2,z'
'x+1/2,-y+1/2,z+1/2'
loop_
_atom_site_label
_atom_site_fract_x
_atom_site_fract_y
_atom_site_fract_z
_atom_site_occupancy
Zr1 0.000 0.216 0.000 1
Pa1 0.000 0.107 0.673 1
Pa2 0.000 0.153 0.293 1
Au1 0.000 0.480 0.457 1
N1 0.000 0.064 0.095 1
N2 0.000 0.193 0.488 1
N3 0.000 0.242 0.816 1
N4 0.000 0.296 0.161 1
N5 0.000 0.480 0.781 1

# PbAu3N | Alexandria via LeMat-Bulk | PBE | relaxed
# formation energy without anion corrections: 7.94 eV/f.u.
# total energy: -2.786 eV per atom
# ΔE to the lowest computed polymorph: 4.67 eV per formula unit
data_PbAu3N
_cell_length_a 5.434
_cell_length_b 5.434
_cell_length_c 5.434
_cell_angle_alpha 90.00
_cell_angle_beta 90.00
_cell_angle_gamma 90.00
_symmetry_space_group_name_H-M 'P m -3 m'
_symmetry_Int_Tables_number 221
_symmetry_space_group_name_Hall '-P 4 2 3'
loop_
_atom_site_label
_atom_site_fract_x
_atom_site_fract_y
_atom_site_fract_z
_atom_site_occupancy
Pb1 0.000 0.000 0.000 1
Au1 0.000 0.000 0.500 1
N1 0.500 0.500 0.500 1

# Pb2AuN | Alexandria via LeMat-Bulk | PBE | relaxed
# formation energy without anion corrections: 1.77 eV/f.u.
# total energy: -4.312 eV per atom
data_Pb2AuN
_cell_length_a 6.390
_cell_length_b 6.390
_cell_length_c 10.048
_cell_angle_alpha 90.00
_cell_angle_beta 90.00
_cell_angle_gamma 90.00
_symmetry_space_group_name_H-M 'I -4 2 d'
_symmetry_Int_Tables_number 122
_symmetry_space_group_name_Hall 'I -4 2bw'
loop_
_atom_site_label
_atom_site_fract_x
_atom_site_fract_y
_atom_site_fract_z
_atom_site_occupancy
Pb1 0.189 0.250 0.125 1
Au1 0.000 0.000 0.500 1
N1 0.000 0.000 0.000 1

Q: Which value of total energy does entry 4 give?
A: -4.312 eV per atom

Q: formation energy without anion corrections of number 1 (PaZnAuN)?
A: -3.76 eV/f.u.

Q: Look up the formation energy without anion corrections of the third one.
A: 7.94 eV/f.u.

Q: formation energy without anion corrections of number 4 (Pb2AuN)?
A: 1.77 eV/f.u.